The following is a DFT calculation (PBE) of a geometry-optimized Bi2Te2Pd structure.

Structure (POSCAR):
```
Bi2Te2Pd
1.0
-1.195 -3.524 -6.476
5.372 -4.910 1.681
-3.566 -3.098 2.344
Te Bi Pd
4 4 2
Direct
0.318 0.818 0.000 Te
0.682 0.182 0.000 Te
0.818 0.682 0.000 Te
0.182 0.318 0.000 Te
0.838 0.338 0.500 Bi
0.162 0.662 0.500 Bi
0.662 0.838 0.500 Bi
0.338 0.162 0.500 Bi
0.000 0.000 0.000 Pd
0.500 0.500 0.000 Pd
```

The uncorrected formation energy is 0.116 eV per atom. The value obtained for the uncorrected energy is -3.7317 eV per atom. Its offset from the most stable computed form is 1.27 eV per formula unit. The symmetry is P4/mbm.